Ca2Ag15Au2: optimized geometry, PBE-GGA.

a = 7.3212 Å, b = 7.3212 Å, c = 7.3212 Å
α = 82.38°, β = 82.38°, γ = 82.38°
With the nearest neighbours (Å) after each atom.
Atoms (fractional coordinates):
Ca 0.1683 0.1683 0.1683  1 Au 3.28, 15 Ag 3.37-3.65
Ca 0.8317 0.8317 0.8317  1 Au 3.28, 15 Ag 3.37-3.65
Ag 0.0000 0.5000 0.5000  8 Ag 2.80-2.81, 2 Au 2.93
Ag 0.1502 0.1502 0.6554  8 Ag 2.79-2.98, 1 Au 3.03
Ag 0.1502 0.6554 0.1502  8 Ag 2.79-2.98, 1 Au 3.03
Ag 0.1975 0.5000 0.8025  8 Ag 2.80-2.98
Ag 0.1975 0.8025 0.5000  8 Ag 2.80-2.98
Ag 0.3446 0.8498 0.8498  8 Ag 2.79-2.98, 1 Au 3.03
Ag 0.5000 0.0000 0.5000  8 Ag 2.80-2.81, 2 Au 2.93
Ag 0.5000 0.1975 0.8025  8 Ag 2.80-2.98
Ag 0.5000 0.5000 0.0000  8 Ag 2.80-2.81, 2 Au 2.93
Ag 0.5000 0.8025 0.1975  8 Ag 2.80-2.98
Ag 0.6554 0.1502 0.1502  8 Ag 2.79-2.98, 1 Au 3.03
Ag 0.8025 0.1975 0.5000  8 Ag 2.80-2.98
Ag 0.8025 0.5000 0.1975  8 Ag 2.80-2.98
Ag 0.8498 0.3446 0.8498  8 Ag 2.79-2.98, 1 Au 3.03
Ag 0.8498 0.8498 0.3446  8 Ag 2.79-2.98, 1 Au 3.03
Au 0.3984 0.3984 0.3984  1 Au 2.90, 6 Ag 2.93-3.03
Au 0.6016 0.6016 0.6016  1 Au 2.90, 6 Ag 2.93-3.03

Results
Fermi-level density of states = 0.34 states/eV/atom
VASP energy = -0.2131 Ry per atom
ΔH_f (0 K) = -93.2 meV per atom

Ca3Ag8Au: optimized geometry, PBE-GGA.

a = 9.8750 Å, b = 9.8750 Å, c = 9.8750 Å
α = 33.31°, β = 33.31°, γ = 33.31°
With the nearest neighbours (Å) after each atom.
Atoms (fractional coordinates):
Ca 0.0000 0.0000 0.0000  12 Ag 3.31-3.38, 4 Ca 3.64-3.67
Ca 0.1314 0.1314 0.1314  12 Ag 3.15-3.44, 3 Au 3.37
Ca 0.6090 0.6090 0.6090  9 Ag 3.14-3.41, 1 Au 3.21
Ag 0.0594 0.0594 0.5632  6 Ag 2.81-2.85, 2 Ca 3.14
Ag 0.0594 0.5632 0.0594  6 Ag 2.81-2.85, 2 Ca 3.14
Ag 0.0614 0.5614 0.5614  6 Ag 2.83-2.86
Ag 0.3107 0.3107 0.3107  6 Ag 2.85-2.86
Ag 0.5614 0.0614 0.5614  6 Ag 2.83-2.86
Ag 0.5614 0.5614 0.0614  6 Ag 2.83-2.86
Ag 0.5632 0.0594 0.0594  6 Ag 2.81-2.85, 2 Ca 3.14
Ag 0.8110 0.8110 0.8110  6 Ag 2.83-2.84
Au 0.4942 0.4942 0.4942  4 Ca 3.21-3.37, 12 Ag 3.23-3.38

Results
Fermi-level density of states = 0.59 states/eV/atom
VASP energy = -0.2137 Ry per atom
ΔH_f (0 K) = -233.1 meV per atom

CaAgAu2: optimized geometry, PBE-GGA.

a = 6.4106 Å, b = 6.4106 Å, c = 6.4106 Å
α = 143.13°, β = 142.83°, γ = 53.36°
With the nearest neighbours (Å) after each atom.
Atoms (fractional coordinates):
Ca 0.0000 0.0000 0.0000  4 Ag 2.88, 2 Au 3.02
Ag 0.5000 0.5000 0.0000  2 Au 2.71, 4 Ca 2.88
Au 0.2639 0.2639 0.0000  1 Ag 2.71, 4 Au 2.90, 1 Ca 3.02
Au 0.7361 0.7361 0.0000  1 Ag 2.71, 4 Au 2.90, 1 Ca 3.02

Results
Fermi-level density of states = 0.33 states/eV/atom
VASP energy = -0.2133 Ry per atom
ΔH_f (0 K) = -50.6 meV per atom

CaAgAu3: optimized geometry, PBE-GGA.

a = 7.5009 Å, b = 7.5009 Å, c = 5.5008 Å
α = 90.00°, β = 90.00°, γ = 135.80°
With the nearest neighbours (Å) after each atom.
Atoms (fractional coordinates):
Ca 0.1147 0.8853 0.7500  6 Au 2.97-3.12
Ca 0.8853 0.1147 0.2500  6 Au 2.97-3.12
Ag 0.5000 0.5000 0.0000  2 Ag 2.75, 6 Au 2.84-2.86
Ag 0.5000 0.5000 0.5000  2 Ag 2.75, 6 Au 2.84-2.86
Au 0.1025 0.3957 0.7500  3 Au 2.78-2.83, 2 Ag 2.84
Au 0.3192 0.6808 0.2500  2 Au 2.78, 2 Ag 2.86, 2 Ca 2.97
Au 0.3957 0.1025 0.2500  3 Au 2.78-2.83, 2 Ag 2.84
Au 0.6043 0.8975 0.7500  3 Au 2.78-2.83, 2 Ag 2.84
Au 0.6808 0.3192 0.7500  2 Au 2.78, 2 Ag 2.86, 2 Ca 2.97
Au 0.8975 0.6043 0.2500  3 Au 2.78-2.83, 2 Ag 2.84

Results
ΔE to the lowest computed polymorph = 0 meV/atom
Fermi-level density of states = 0.37 states/eV/atom
VASP energy = -0.2449 Ry per atom
ΔH_f (0 K) = -395.6 meV per atom